[1]
Material: Li6SbPd
Method: DFT, GGA-PBE
State: relaxed

```
data_Li6SbPd
_chemical_formula_sum 'Li6 Sb1 Pd1'
_space_group_name_H-M_alt 'P 4/m m m'
_space_group_IT_number 123
_space_group_name_Hall '-P 4 2'
_cell_length_a 4.4233
_cell_length_b 4.4233
_cell_length_c 6.2386
_cell_angle_alpha 90.00
_cell_angle_beta 90.00
_cell_angle_gamma 90.00
loop_
_atom_site_label
_atom_site_fract_x
_atom_site_fract_y
_atom_site_fract_z
_atom_site_occupancy
Li1 0.0000 0.0000 0.0000 1
Li2 0.0000 0.5000 0.2384 1
Li3 0.5000 0.5000 0.5000 1
Sb1 0.0000 0.0000 0.5000 1
Pd1 0.5000 0.5000 0.0000 1
```

=====

[2]
Material: LiSb5Pd3
Method: DFT, GGA-PBE
State: relaxed

```
data_LiSb5Pd3
_chemical_formula_sum 'Li1 Sb5 Pd3'
_space_group_name_H-M_alt 'P 6/m m m'
_space_group_IT_number 191
_space_group_name_Hall '-P 6 2'
_cell_length_a 5.6105
_cell_length_b 5.6105
_cell_length_c 8.2572
_cell_angle_alpha 90.00
_cell_angle_beta 90.00
_cell_angle_gamma 120.00
loop_
_atom_site_label
_atom_site_fract_x
_atom_site_fract_y
_atom_site_fract_z
_atom_site_occupancy
Li1 0.0000 0.0000 0.0000 1
Sb1 0.0000 0.0000 0.5000 1
Sb2 0.3333 0.6667 0.2196 1
Pd1 0.0000 0.5000 0.5000 1
```

=====

[3]
Material: Li2Sb2Pd3
Method: DFT, GGA-PBE
State: relaxed

```
data_Li2Sb2Pd3
_chemical_formula_sum 'Li6 Sb6 Pd9'
_space_group_name_H-M_alt 'R 3 m'
_space_group_IT_number 160
_space_group_name_Hall 'R 3 -2"'
_cell_length_a 4.4449
_cell_length_b 4.4449
_cell_length_c 21.5514
_cell_angle_alpha 90.00
_cell_angle_beta 90.00
_cell_angle_gamma 120.00
loop_
_atom_site_label
_atom_site_fract_x
_atom_site_fract_y
_atom_site_fract_z
_atom_site_occupancy
Li1 0.0000 0.0000 0.0000 1
Li2 0.0000 0.0000 0.4860 1
Sb1 0.0000 0.0000 0.2375 1
Sb2 0.0000 0.0000 0.7440 1
Pd1 0.0000 0.0000 0.3630 1
Pd2 0.0000 0.0000 0.6166 1
Pd3 0.0000 0.0000 0.8692 1
```

=====

[4]
Material: Li4SnSbPd2
Method: DFT, GGA-PBE
State: relaxed

```
data_Li4SnSbPd2
_chemical_formula_sum 'Li4 Sn1 Sb1 Pd2'
_space_group_name_H-M_alt 'P -4 m 2'
_space_group_IT_number 115
_cell_length_a 4.4815
_cell_length_b 4.4815
_cell_length_c 6.3286
_cell_angle_alpha 90.00
_cell_angle_beta 90.00
_cell_angle_gamma 90.00
loop_
_space_group_symop_operation_xyz
'x,y,z'
'y,-x,-z'
'-x,-y,z'
'-y,x,-z'
'-x,y,z'
'-y,-x,-z'
'x,-y,z'
'y,x,-z'
loop_
_atom_site_label
_atom_site_fract_x
_atom_site_fract_y
_atom_site_fract_z
_atom_site_occupancy
Li1 0.0000 0.0000 0.0000 1
Li2 0.0000 0.5000 0.2498 1
Li3 0.5000 0.5000 0.5000 1
Sn1 0.0000 0.0000 0.5000 1
Sb1 0.5000 0.5000 0.0000 1
Pd1 0.0000 0.5000 0.7504 1
```

=====

[5]
Material: Li4ZnSbPd2
Method: DFT, GGA-PBE
State: relaxed

```
data_Li4ZnSbPd2
_chemical_formula_sum 'Li4 Zn1 Sb1 Pd2'
_space_group_name_H-M_alt 'P -4 m 2'
_space_group_IT_number 115
_cell_length_a 4.4310
_cell_length_b 4.4310
_cell_length_c 6.1130
_cell_angle_alpha 90.00
_cell_angle_beta 90.00
_cell_angle_gamma 90.00
loop_
_space_group_symop_operation_xyz
'x,y,z'
'y,-x,-z'
'-x,-y,z'
'-y,x,-z'
'-x,y,z'
'-y,-x,-z'
'x,-y,z'
'y,x,-z'
loop_
_atom_site_label
_atom_site_fract_x
_atom_site_fract_y
_atom_site_fract_z
_atom_site_occupancy
Li1 0.0000 0.0000 0.0000 1
Li2 0.0000 0.5000 0.2312 1
Li3 0.5000 0.5000 0.5000 1
Zn1 0.5000 0.5000 0.0000 1
Sb1 0.0000 0.0000 0.5000 1
Pd1 0.0000 0.5000 0.7578 1
```

=====

[6]
Material: Li2ScPd
Method: DFT, GGA-PBE
State: relaxed

```
data_Li2ScPd
_chemical_formula_sum 'Li8 Sc4 Pd4'
_space_group_name_H-M_alt 'F -4 3 m'
_space_group_IT_number 216
_space_group_name_Hall 'F -4 2 3'
_cell_length_a 6.4142
_cell_length_b 6.4142
_cell_length_c 6.4142
_cell_angle_alpha 90.00
_cell_angle_beta 90.00
_cell_angle_gamma 90.00
loop_
_atom_site_label
_atom_site_fract_x
_atom_site_fract_y
_atom_site_fract_z
_atom_site_occupancy
Li1 0.0000 0.0000 0.0000 1
Li2 0.2500 0.2500 0.2500 1
Sc1 0.2500 0.2500 0.7500 1
Pd1 0.0000 0.0000 0.5000 1
```

Summary:
Spin magnetization ... 0.005 μB/f.u.

=====

Quick rundown of VASP energy, same order as above: -0.1111; -0.1628; -0.1677; -0.1429; -0.1270; -0.1534 hartree per atom